(1)
Compound: CaMn2CoOs
Source: the Alexandria database
Functional: PBE
Structure: relaxed

```
CaMn2CoOs
1.0
4.719 0.000 0.000
0.000 4.719 0.000
0.000 0.000 4.588
Ca Mn Co Os
1 2 1 1
direct
0.000 0.000 0.000 Ca
0.000 0.500 0.500 Mn
0.500 0.000 0.500 Mn
0.500 0.500 0.000 Co
0.500 0.500 0.500 Os
```

- E_tot: -34.8 eV for the cell shown
- SG: P4/mmm, No. 123
- N(E_F): 0.94 states/eV per atom


(2)
Compound: CaMnCoP2
Source: the Alexandria database
Functional: PBE
Structure: relaxed

```
CaMnCoP2
1.0
-1.917 1.917 5.035
1.917 -1.917 5.035
1.917 1.917 -5.035
Ca Mn Co P
1 1 1 2
direct
0.000 0.000 0.000 Ca
0.250 0.750 0.500 Mn
0.750 0.250 0.500 Co
0.360 0.360 0.000 P
0.640 0.640 0.000 P
```

- E_tot: -33.3 eV for the cell shown
- SG: I-4m2, No. 119
- N(E_F): 0.49 states/eV per atom


(3)
Compound: CaMnCo2Pd
Source: the Alexandria database
Functional: PBE
Structure: relaxed

```
CaMnCo2Pd
1.0
4.356 0.000 0.000
0.000 4.356 0.000
0.000 0.000 4.765
Ca Mn Co Pd
1 1 2 1
direct
0.000 0.000 0.000 Ca
0.000 0.000 0.500 Mn
0.000 0.500 0.000 Co
0.500 0.000 0.000 Co
0.500 0.500 0.500 Pd
```

- E_tot: -21.8 eV for the cell shown
- SG: P4/mmm, No. 123
- N(E_F): 1.38 states/eV per atom


(4)
Compound: CaMnCo2Rh
Source: the Alexandria database
Functional: PBE
Structure: relaxed

```
CaMnCo2Rh
1.0
4.284 0.000 0.000
0.000 4.284 0.000
0.000 0.000 4.552
Ca Mn Co Rh
1 1 2 1
direct
0.000 0.000 0.000 Ca
0.500 0.500 0.500 Mn
0.000 0.500 0.500 Co
0.500 0.000 0.500 Co
0.500 0.500 0.000 Rh
```

- E_tot: -30.0 eV for the cell shown
- SG: P4/mmm, No. 123
- N(E_F): 1.29 states/eV per atom


(5)
Compound: CaMn2CoRu
Source: the Alexandria database
Functional: PBE
Structure: relaxed

```
CaMn2CoRu
1.0
4.680 0.000 0.000
0.000 4.680 0.000
0.000 0.000 5.286
Ca Mn Co Ru
1 2 1 1
direct
0.000 0.000 0.000 Ca
0.000 0.500 0.500 Mn
0.500 0.000 0.500 Mn
0.500 0.500 0.000 Co
0.000 0.000 0.500 Ru
```

- E_tot: -30.5 eV for the cell shown
- SG: P4/mmm, No. 123
- N(E_F): 2.28 states/eV per atom


(6)
Compound: CaMn2CoSb
Source: the Alexandria database
Functional: PBE
Structure: relaxed

```
CaMn2CoSb
1.0
4.428 0.000 0.000
0.000 4.428 0.000
0.000 0.000 4.783
Ca Mn Co Sb
1 2 1 1
direct
0.000 0.000 0.000 Ca
0.000 0.500 0.500 Mn
0.500 0.000 0.500 Mn
0.500 0.500 0.500 Co
0.500 0.500 0.000 Sb
```

- E_tot: -27.5 eV for the cell shown
- SG: P4/mmm, No. 123
- N(E_F): 2.29 states/eV per atom
- Formation energy from raw total energies: 815 meV per atom


(7)
Compound: CaMnCoSn2
Source: the Alexandria database
Functional: PBE
Structure: relaxed

```
CaMnCoSn2
1.0
4.793 0.000 0.000
0.000 4.793 0.000
0.000 0.000 4.821
Ca Mn Co Sn
1 1 1 2
direct
0.000 0.000 0.000 Ca
0.000 0.000 0.500 Mn
0.500 0.500 0.000 Co
0.000 0.500 0.500 Sn
0.500 0.000 0.500 Sn
```

- E_tot: -22.7 eV for the cell shown
- SG: P4/mmm, No. 123
- N(E_F): 1.84 states/eV per atom


(8)
Compound: Ca2CoMo
Source: the Alexandria database
Functional: PBE
Structure: relaxed

```
Ca2CoMo
1.0
3.021 -4.707 0.000
3.021 4.707 0.000
-0.008 0.000 2.908
Ca Co Mo
2 1 1
direct
0.000 0.500 0.000 Ca
0.500 0.000 0.000 Ca
0.000 0.000 0.500 Co
0.500 0.500 0.500 Mo
```

- E_tot: -18.5 eV for the cell shown
- SG: C2/m, No. 12
- N(E_F): 1.03 states/eV per atom
- Energy relative to the lowest polymorph listed for this composition: 49.4 kJ/mol of atoms


(9)
Compound: Ca2CoMo
Source: the Alexandria database
Functional: PBE
Structure: relaxed

```
Ca2CoMo
1.0
2.894 0.000 0.000
0.000 4.739 0.000
0.000 0.000 5.975
Ca Co Mo
2 1 1
direct
0.000 0.000 0.247 Ca
0.000 0.000 0.753 Ca
0.500 0.500 0.000 Co
0.500 0.500 0.500 Mo
```

- E_tot: -18.6 eV for the cell shown
- SG: Pmmm, No. 47
- N(E_F): 0.74 states/eV per atom
- Energy relative to the lowest polymorph listed for this composition: 48.6 kJ/mol of atoms


(10)
Compound: Ca2CoMo
Source: the Alexandria database
Functional: PBE
Structure: relaxed

```
Ca2CoMo
1.0
-5.233 5.233 2.222
5.233 -5.233 2.222
5.233 5.233 -2.222
Ca Co Mo
4 2 2
direct
0.375 0.209 0.334 Ca
0.791 0.125 0.166 Ca
0.875 0.041 0.666 Ca
0.959 0.625 0.834 Ca
0.000 0.000 0.000 Co
0.750 0.250 0.500 Co
0.250 0.750 0.500 Mo
0.500 0.500 0.000 Mo
```

- E_tot: -37.6 eV for the cell shown
- SG: I-42d, No. 122
- N(E_F): 0.88 states/eV per atom
- Energy relative to the lowest polymorph listed for this composition: 42.6 kJ/mol of atoms


(11)
Compound: CaCoMo
Source: the Alexandria database
Functional: PBE
Structure: relaxed

```
CaCoMo
1.0
5.470 -2.109 0.000
5.470 2.109 0.000
-0.269 0.000 5.045
Ca Co Mo
2 2 2
direct
0.000 0.000 0.000 Ca
0.549 0.549 0.498 Ca
0.275 0.275 0.257 Co
0.731 0.731 0.984 Co
0.272 0.272 0.768 Mo
0.817 0.817 0.473 Mo
```

- E_tot: -38.1 eV for the cell shown
- SG: Cm, No. 8
- N(E_F): 0.88 states/eV per atom
- Energy relative to the lowest polymorph listed for this composition: 13.0 kJ/mol of atoms


(12)
Compound: CaCoMo
Source: the Alexandria database
Functional: PBE
Structure: relaxed

```
CaCoMo
1.0
-1.566 1.566 5.764
1.566 -1.566 5.764
1.566 1.566 -5.764
Ca Co Mo
1 1 1
direct
0.000 0.000 0.000 Ca
0.700 0.700 0.000 Co
0.286 0.286 0.000 Mo
```

- E_tot: -18.8 eV for the cell shown
- SG: I4mm, No. 107
- N(E_F): 0.93 states/eV per atom
- Energy relative to the lowest polymorph listed for this composition: 21.8 kJ/mol of atoms


What did the tenth record say?
Compound: Ca2CoMo
Source: the Alexandria database
Functional: PBE
Structure: relaxed

```
Ca2CoMo
1.0
-5.233 5.233 2.222
5.233 -5.233 2.222
5.233 5.233 -2.222
Ca Co Mo
4 2 2
direct
0.375 0.209 0.334 Ca
0.791 0.125 0.166 Ca
0.875 0.041 0.666 Ca
0.959 0.625 0.834 Ca
0.000 0.000 0.000 Co
0.750 0.250 0.500 Co
0.250 0.750 0.500 Mo
0.500 0.500 0.000 Mo
```

- E_tot: -37.6 eV for the cell shown
- SG: I-42d, No. 122
- N(E_F): 0.88 states/eV per atom
- Energy relative to the lowest polymorph listed for this composition: 42.6 kJ/mol of atoms